# 1
Compound: BaHRh2S
Source: Alexandria via LeMat-Bulk
Functional: PBE
Structure: optimized geometry

- Calculated total energy: -0.180 hartree per atom
- Size of the total moment: 0.000 μB/f.u.
- Crystal system: tetragonal

abc: 4.2859 4.2859 6.4516
angles: 90.00 90.00 90.00
Sites, in units of the cell vectors:
Ba 0.0000 0.0000 0.0000
H 0.5000 0.5000 0.0000
Rh 0.0000 0.5000 0.5000
Rh 0.5000 0.0000 0.5000
S 0.0000 0.0000 0.5000

# 2
Compound: SrCdRe2
Source: Alexandria via LeMat-Bulk
Functional: PBE
Structure: optimized geometry

- Energy relative to the elements: 1.02 eV per atom
- Size of the total moment: 0.000 μB/f.u.
- Crystal system: monoclinic

abc: 5.8946 5.8946 2.7535
angles: 99.03 99.03 121.49
Sites, in units of the cell vectors:
Sr 0.0000 0.0000 0.0000
Cd 0.5000 0.5000 0.0000
Re 0.0000 0.5000 0.5000
Re 0.5000 0.0000 0.5000

# 3
Compound: NpH6PdRh
Source: Alexandria via LeMat-Bulk
Functional: PBE
Structure: optimized geometry

- Calculated total energy: -0.190 hartree per atom
- Size of the total moment: 3.539 μB/f.u.
- Crystal system: hexagonal

abc: 4.7246 4.7246 4.1563
angles: 90.00 90.00 120.00
Sites, in units of the cell vectors:
Np 0.0000 0.0000 0.0000
H 0.5081 0.0163 0.2204
H 0.5081 0.0163 0.7796
H 0.5081 0.4919 0.2204
H 0.5081 0.4919 0.7796
H 0.9837 0.4919 0.2204
H 0.9837 0.4919 0.7796
Pd 0.3333 0.6667 0.5000
Rh 0.6667 0.3333 0.5000

Q: Look up the size of the total moment of the first one.
A: 0.000 μB/f.u.

Q: Among the records above, which one has the highest size of the total moment?
A: NpH6PdRh